[1]
MgAl2As2 | PBE | optimized geometry

abc: 3.986 3.986 7.305
angles: 74.17 74.17 90.00
Fractional coordinates of all 5 atoms:
Mg 0.000 0.000 0.000
As 0.374 0.374 0.252
As 0.626 0.626 0.748
Al 0.750 0.250 0.500
Al 0.250 0.750 0.500

Offset from the most stable computed form: 1.6 kJ/mol of atoms
Crystal system: tetragonal
E_form: -7.6 kJ/mol of atoms

---

[2]
NaCuH3 | PBE | optimized geometry

abc: 3.690 3.690 8.955
angles: 78.11 78.11 90.00
Fractional coordinates of all 10 atoms:
Na 0.000 0.000 0.000
Na 0.250 0.750 0.500
Cu 0.670 0.170 0.660
Cu 0.830 0.330 0.340
H 0.295 0.902 0.195
H 0.098 0.705 0.805
H 0.098 0.491 0.805
H 0.509 0.902 0.195
H 0.326 0.326 0.348
H 0.674 0.674 0.652

Offset from the most stable computed form: 32.6 kJ/mol of atoms
Crystal system: tetragonal

---

[3]
Hf2CrNi | PBE | optimized geometry

abc: 4.499 4.499 4.499
angles: 60.00 60.00 60.00
Fractional coordinates of all 4 atoms:
Ni 0.500 0.500 0.500
Hf 0.250 0.250 0.250
Hf 0.750 0.750 0.750
Cr 0.000 0.000 0.000

Offset from the most stable computed form: 5.7 kJ/mol of atoms
Crystal system: cubic
E_form: -12.3 kJ/mol of atoms

---

[4]
SrMnOs | PBE | optimized geometry

abc: 3.983 3.983 5.051
angles: 90.00 90.00 120.00
Site moments in Bohr magnetons follow the coordinates.
Fractional coordinates of all 3 atoms:
Mn 0.000 0.000 0.167  1.30
Os 0.333 0.667 0.166  -0.18
Sr 0.667 0.333 0.667  -0.01

Offset from the most stable computed form: 0.0 kJ/mol of atoms
Crystal system: hexagonal
E_form: 43.6 kJ/mol of atoms

---

[5]
La2YAl | PBE | optimized geometry

abc: 5.701 3.579 5.966
angles: 81.46 90.00 90.00
Fractional coordinates of all 4 atoms:
Y 0.500 0.250 0.250
Al 0.500 0.750 0.750
La 0.000 0.947 0.970
La 0.000 0.553 0.530

Crystal system: monoclinic
E_form: -5.0 kJ/mol of atoms

---

[6]
DyTh4Sc3Se8 | PBE | optimized geometry

abc: 7.895 8.398 7.894
angles: 118.04 120.00 90.00
Fractional coordinates of all 16 atoms:
Dy 0.000 0.500 0.000
Th 0.500 0.000 0.000
Th 0.500 0.000 0.500
Th 0.000 0.000 0.000
Th 0.000 0.000 0.500
Sc 0.500 0.500 0.000
Sc 0.500 0.500 0.500
Sc 0.000 0.500 0.500
Se 0.245 0.723 0.978
Se 0.245 0.723 0.490
Se 0.260 0.281 0.521
Se 0.733 0.723 0.978
Se 0.267 0.277 0.022
Se 0.740 0.719 0.479
Se 0.755 0.277 0.510
Se 0.755 0.277 0.022

Uncorrected formation energy: -1.5749 eV per atom
Crystal system: trigonal

---

[7]
Cs2NaPbF6 | PBE | optimized geometry

abc: 6.568 6.568 6.568
angles: 60.00 60.00 60.00
Site moments in Bohr magnetons follow the coordinates.
Fractional coordinates of all 10 atoms:
Cs 0.250 0.250 0.250  0.00
Cs 0.750 0.750 0.750  0.00
Na 0.500 0.500 0.500  0.00
Pb 0.000 0.000 0.000  0.22
F 0.245 0.755 0.755  0.07
F 0.245 0.755 0.245  0.07
F 0.755 0.245 0.755  0.07
F 0.755 0.755 0.245  0.07
F 0.245 0.245 0.755  0.07
F 0.755 0.245 0.245  0.07

Uncorrected formation energy: -2.5306 eV per atom
Crystal system: cubic

---

[8]
MnMoIr2 | PBE | optimized geometry

abc: 4.733 4.733 4.707
angles: 80.62 80.62 33.46
Site moments in Bohr magnetons follow the coordinates.
Fractional coordinates of all 4 atoms:
Ir 0.001 0.001 0.996  -0.03
Ir 0.499 0.499 0.504  -0.03
Mn 0.750 0.750 0.750  2.51
Mo 0.250 0.250 0.250  -0.36

Offset from the most stable computed form: 13.5 kJ/mol of atoms
Crystal system: monoclinic
E_form: -10.9 kJ/mol of atoms

---

[9]
SiW3 | PBE | optimized geometry

abc: 9.086 9.086 9.086
angles: 17.96 17.96 17.96
Fractional coordinates of all 4 atoms:
Si 0.000 0.000 0.000
W 0.745 0.745 0.745
W 0.500 0.500 0.500
W 0.255 0.255 0.255

Uncorrected formation energy: 0.3110 eV per atom
Crystal system: trigonal

---

[10]
YBe2Ru | PBE | optimized geometry

abc: 4.173 4.173 8.439
angles: 75.69 75.69 90.00
Fractional coordinates of all 8 atoms:
Y 0.500 0.500 0.000
Y 0.250 0.750 0.500
Ru 0.000 0.000 0.000
Ru 0.750 0.250 0.500
Be 0.875 0.125 0.250
Be 0.875 0.625 0.250
Be 0.375 0.125 0.750
Be 0.875 0.125 0.750

Offset from the most stable computed form: 27.7 kJ/mol of atoms
Crystal system: tetragonal
E_form: 3.5 kJ/mol of atoms

---

[11]
LiTl12In3 | PBE | optimized geometry

abc: 5.306 5.306 16.827
angles: 90.00 90.00 90.00
Fractional coordinates of all 16 atoms:
Li 0.000 0.000 0.000
Tl 0.500 0.500 0.000
Tl 0.500 0.500 0.247
Tl 0.500 0.500 0.500
Tl 0.500 0.500 0.753
Tl 0.500 0.000 0.120
Tl 0.500 0.000 0.374
Tl 0.500 0.000 0.626
Tl 0.500 0.000 0.880
Tl 0.000 0.500 0.120
Tl 0.000 0.500 0.374
Tl 0.000 0.500 0.626
Tl 0.000 0.500 0.880
In 0.000 0.000 0.245
In 0.000 0.000 0.500
In 0.000 0.000 0.755

Crystal system: tetragonal
E_form: 0.7 kJ/mol of atoms

---

[12]
Dy2Cd5Pd | PBE | optimized geometry

abc: 4.836 4.836 10.311
angles: 76.44 76.44 60.00
Fractional coordinates of all 8 atoms:
Dy 0.088 0.088 0.735
Dy 0.912 0.912 0.265
Cd 0.500 0.500 0.500
Cd 0.352 0.352 0.944
Cd 0.648 0.648 0.056
Cd 0.199 0.199 0.402
Cd 0.801 0.801 0.598
Pd 0.000 0.000 0.000

Crystal system: trigonal
E_form: -20.0 kJ/mol of atoms

---

[13]
Cd2MoW | PBE | optimized geometry

abc: 4.663 3.908 3.908
angles: 90.00 90.00 90.00
Fractional coordinates of all 4 atoms:
Cd 0.000 0.000 0.000
Cd 0.000 0.500 0.500
Mo 0.500 0.500 0.000
W 0.500 0.000 0.500

Offset from the most stable computed form: 29.2 kJ/mol of atoms
Crystal system: tetragonal
E_form: 57.3 kJ/mol of atoms

---

[14]
FeTcAu2 | PBE | optimized geometry

abc: 4.797 4.797 4.797
angles: 130.33 130.33 72.88
Site moments in Bohr magnetons follow the coordinates.
Fractional coordinates of all 4 atoms:
Au 0.000 0.000 0.000  -0.03
Au 0.250 0.750 0.500  0.03
Fe 0.500 0.500 0.000  2.83
Tc 0.750 0.250 0.500  -0.25

Offset from the most stable computed form: 18.1 kJ/mol of atoms
Crystal system: tetragonal
E_form: 35.0 kJ/mol of atoms

---

[15]
Cs3GaI5 | PBE | optimized geometry

abc: 10.525 10.525 11.326
angles: 117.69 117.69 90.00
Site moments in Bohr magnetons follow the coordinates.
Fractional coordinates of all 18 atoms:
Cs 0.656 0.156 0.000  0.01
Cs 0.344 0.844 0.000  0.01
Cs 0.844 0.656 0.000  0.01
Cs 0.156 0.344 0.000  0.01
Cs 0.250 0.250 0.500  0.00
Cs 0.750 0.750 0.500  0.00
Ga 0.750 0.250 0.500  0.20
Ga 0.250 0.750 0.500  0.20
I 0.000 0.500 0.701  0.07
I 0.702 0.202 0.701  0.07
I 0.202 0.000 0.701  0.07
I 0.500 0.702 0.701  0.07
I 0.000 0.500 0.299  0.07
I 0.298 0.798 0.299  0.07
I 0.798 0.000 0.299  0.07
I 0.500 0.298 0.299  0.07
I 0.500 0.500 0.000  0.01
I 0.000 0.000 0.000  0.01

Uncorrected formation energy: -1.1343 eV per atom
Crystal system: tetragonal

---

[16]
NiAgSbPt | PBE | optimized geometry

abc: 4.550 4.550 4.550
angles: 60.00 60.00 60.00
Fractional coordinates of all 4 atoms:
Sb 0.250 0.250 0.250
Ag 0.750 0.750 0.750
Pt 0.500 0.500 0.500
Ni 0.000 0.000 0.000

Uncorrected formation energy: -0.0301 eV per atom
Crystal system: cubic

---

For each record above, in turn, the calculated E values are -3.754 -2.829 -8.955 -6.909 -5.067 -6.647 -4.327 -9.544 -10.760 -5.762 -2.400 -2.579 -5.809 -5.983 -2.616 -4.729 eV/atom.
For each record above, in turn, the calculated V values are 107.1 116.6 64.4 69.4 120.4 380.7 200.4 57.3 62.3 137.7 473.7 201.0 71.2 62.7 945.7 66.6 Å³ per cell.